[1]
Material: SrCdP
Method: DFT, PBE
State: relaxed

Cell lengths 4.3980, 4.3980, 4.7655 Å; angles 90.00, 90.00, 120.00 degrees
Last column: nearest neighbours and their distance in Å.
Element x y z (fractional)
Sr: 0.0000 0.0000 0.0000  3 P 3.15, 3 Cd 3.36
Cd: 0.6667 0.3333 0.4615  3 P 2.63
P: 0.3333 0.6667 0.6081  3 Cd 2.63

Calculated values
Its symmetry is No. 156. For the formation enthalpy at 0 K, the calculation gives -0.544 eV per atom. The energy above the most stable polymorph in this dataset comes out at 32.3 meV/atom. The calculation puts the electronic total energy at -9.64 eV/cell.


[2]
Material: CsInP2Pt4
Method: DFT, PBE
State: relaxed

Cell lengths 4.0075, 4.0075, 11.1776 Å; angles 90.00, 90.00, 90.00 degrees
Last column: nearest neighbours and their distance in Å.
Element x y z (fractional)
Cs: 0.0000 0.0000 0.0000  8 P 3.67, 4 Cs 4.01, 8 Pt 4.07
In: 0.0000 0.0000 0.5000  8 Pt 2.87
P: 0.5000 0.5000 0.2088  4 Pt 2.34
P: 0.5000 0.5000 0.7912  4 Pt 2.34
Pt: 0.0000 0.5000 0.3168  2 P 2.34
Pt: 0.0000 0.5000 0.6832  2 P 2.34
Pt: 0.5000 0.0000 0.3168  2 P 2.34
Pt: 0.5000 0.0000 0.6832  2 P 2.34

Calculated values
Its symmetry is No. 123. For the formation enthalpy at 0 K, the calculation gives -0.528 eV per atom. The calculation puts the electronic total energy at -42.80 eV/cell.


Q: The highest electronic total energy belongs to which entry?
A: SrCdP